Entry 1:
## Cs2AsRu (PBE)

Data for a relaxed Cs2AsRu crystal.

a = 8.089 Å, b = 8.089 Å, c = 8.089 Å
α = 90.00°, β = 90.00°, γ = 90.00°
Space group Fm-3m (No. 225)
Symmetry-distinct sites (fractional):
1 Cs 0.250 0.250 0.250
2 As 0.000 0.000 0.000
3 Ru 0.000 0.000 0.500

Values from the calculation:
E_form, meV per atom: 1263
E, eV/atom: -2.6449
ρ, g/cm³: 5.54
Magnetic moment, μB per atom: 0.860

Entry 2:
## Tb3SmY4 (PBE)

Data for a relaxed Tb3SmY4 crystal.

a = 3.577 Å, b = 7.145 Å, c = 10.096 Å
α = 90.00°, β = 90.00°, γ = 90.00°
Space group Pmmm (No. 47)
Symmetry-distinct sites (fractional):
1 Tb 0.000 0.000 0.000
2 Tb 0.000 0.000 0.500
3 Tb 0.000 0.500 0.000
4 Sm 0.000 0.500 0.500
5 Y 0.500 0.249 0.249

Values from the calculation:
E_form, meV per atom: 20
E, eV/atom: -5.5379
ρ, g/cm³: 6.32
Magnetic moment, μB per atom: 0.000

Entry 3:
## Rb2VInBr6 (PBE)

Data for a relaxed Rb2VInBr6 crystal.

a = 7.807 Å, b = 7.814 Å, c = 7.817 Å
α = 62.79°, β = 62.79°, γ = 62.77°
Space group P-1 (No. 2)
Symmetry-distinct sites (fractional):
1 Rb 0.243 0.243 0.242
2 V 0.000 0.000 0.000
3 In 0.500 0.500 0.500
4 Br 0.152 0.791 0.294
5 Br 0.210 0.707 0.847
6 Br 0.293 0.153 0.792

Values from the calculation:
ΔE_f (raw), eV per formula unit: -11.74
E, eV/atom: -3.5567
ρ, g/cm³: 3.78
Magnetic moment, μB per atom: 0.200

Entry 4:
## UCoSi2 (PBE)

Data for a relaxed UCoSi2 crystal.

a = 6.513 Å, b = 3.957 Å, c = 9.733 Å
α = 90.00°, β = 90.00°, γ = 90.00°
Space group Pnma (No. 62)
Symmetry-distinct sites (fractional):
1 U 0.159 0.250 0.121
2 Co 0.011 0.750 0.395
3 Si 0.149 0.250 0.813
4 Si 0.202 0.250 0.419

Values from the calculation:
ΔE_f (raw), eV per formula unit: -2.09
E, eV/atom: -7.8320
ρ, g/cm³: 9.35
Magnetic moment, μB per atom: 0.342

Entry 5:
## ScInBr2 (PBE)

Data for a relaxed ScInBr2 crystal.

a = 6.336 Å, b = 3.620 Å, c = 6.714 Å
α = 90.00°, β = 117.84°, γ = 90.00°
Space group P2/m (No. 10)
Symmetry-distinct sites (fractional):
1 Sc 0.000 0.000 0.000
2 In 0.500 0.000 0.000
3 Br 0.164 0.500 0.328

Values from the calculation:
ΔE_f (raw), eV per formula unit: -3.48
E, eV/atom: -3.9740
ρ, g/cm³: 3.90
Magnetic moment, μB per atom: 0.000

Entry 6:
## RbCdAgHg2 (PBE)

Data for a relaxed RbCdAgHg2 crystal.

a = 5.565 Å, b = 5.565 Å, c = 5.460 Å
α = 90.00°, β = 90.00°, γ = 90.00°
Space group P4/mmm (No. 123)
Symmetry-distinct sites (fractional):
1 Rb 0.000 0.000 0.000
2 Cd 0.500 0.500 0.000
3 Ag 0.500 0.500 0.500
4 Hg 0.000 0.500 0.500

Values from the calculation:
E_form, meV per atom: -46
E, eV/atom: -1.1136
ρ, g/cm³: 6.94
Magnetic moment, μB per atom: 0.000

Entry 7:
## Ac6SbTe2As3 (PBE)

Data for a relaxed Ac6SbTe2As3 crystal.

a = 20.365 Å, b = 4.627 Å, c = 9.358 Å
α = 90.00°, β = 104.22°, γ = 90.00°
Space group C2/m (No. 12)
Symmetry-distinct sites (fractional):
1 Ac 0.005 0.000 0.243
2 Ac 0.160 0.500 0.097
3 Ac 0.170 0.500 0.569
4 Sb 0.000 0.500 0.500
5 Te 0.168 0.000 0.836
6 As 0.000 0.500 0.000
7 As 0.168 0.000 0.333

Values from the calculation:
ΔE_f (raw), eV per formula unit: -17.98
E, eV/atom: -5.5822
ρ, g/cm³: 7.63
Magnetic moment, μB per atom: 0.000

Entry 8:
## Pm6TeAs2P3 (PBE)

Data for a relaxed Pm6TeAs2P3 crystal.

a = 18.412 Å, b = 4.210 Å, c = 8.484 Å
α = 90.00°, β = 103.50°, γ = 90.00°
Space group C2/m (No. 12)
Symmetry-distinct sites (fractional):
1 Pm 0.001 0.000 0.229
2 Pm 0.166 0.500 0.086
3 Pm 0.174 0.500 0.584
4 Te 0.000 0.500 0.500
5 As 0.167 0.000 0.833
6 P 0.000 0.500 0.000
7 P 0.165 0.000 0.333

Values from the calculation:
ΔE_f (raw), eV per formula unit: -18.70
E, eV/atom: -6.3229
ρ, g/cm³: 6.44
Magnetic moment, μB per atom: 0.000

Entry 9:
## Be2NbRu3 (PBE)

Data for a relaxed Be2NbRu3 crystal.

a = 4.1983 Å, b = 4.1983 Å, c = 10.1420 Å
α = 90.00°, β = 90.00°, γ = 120.00°
Space group P-3m1 (No. 164)
Symmetry-distinct sites (fractional):
1 Be 0.0000 0.0000 0.0000
2 Be 0.0000 0.0000 0.5000
3 Be 0.3333 0.6667 0.1710
4 Nb 0.3333 0.6667 0.6780
5 Ru 0.0000 0.0000 0.2317
6 Ru 0.3333 0.6667 0.4148
7 Ru 0.3333 0.6667 0.9374

Values from the calculation:
E_form, meV per atom: -251
E, eV/atom: -7.8093
ρ, g/cm³: 8.88
Magnetic moment, μB per atom: 0.000

Entry 10:
## CaTbRh2 (PBE)

Data for a relaxed CaTbRh2 crystal.

a = 3.431 Å, b = 3.431 Å, c = 6.902 Å
α = 90.00°, β = 90.00°, γ = 90.00°
Space group P4/mmm (No. 123)
Symmetry-distinct sites (fractional):
1 Ca 0.000 0.000 0.000
2 Tb 0.000 0.000 0.500
3 Rh 0.500 0.500 0.266

Values from the calculation:
E_form, meV per atom: -633
E, eV/atom: -5.9670
ρ, g/cm³: 8.27
Magnetic moment, μB per atom: 0.000

Entry 11:
## RbHf2Sc2O7 (PBE)

Data for a relaxed RbHf2Sc2O7 crystal.

a = 4.241 Å, b = 4.241 Å, c = 18.007 Å
α = 90.00°, β = 90.00°, γ = 90.00°
Space group I4/mmm (No. 139)
Symmetry-distinct sites (fractional):
1 Rb 0.000 0.000 0.000
2 Hf 0.000 0.000 0.388
3 Sc 0.000 0.500 0.250
4 O 0.000 0.000 0.268
5 O 0.000 0.000 0.500
6 O 0.000 0.500 0.128

Values from the calculation:
ΔE_f (raw), eV per formula unit: -38.16
E, eV/atom: -8.8675
ρ, g/cm³: 6.61
Magnetic moment, μB per atom: 0.000

Entry 12:
## Cs3BaCe2Te6 (PBE)

Data for a relaxed Cs3BaCe2Te6 crystal.

a = 8.352 Å, b = 14.459 Å, c = 9.326 Å
α = 90.00°, β = 107.47°, γ = 90.00°
Space group C2/m (No. 12)
Symmetry-distinct sites (fractional):
1 Cs 0.000 0.000 0.000
2 Cs 0.000 0.341 0.000
3 Ba 0.000 0.500 0.500
4 Ce 0.000 0.167 0.500
5 Te 0.202 0.000 0.693
6 Te 0.247 0.319 0.696

Values from the calculation:
ΔE_f (raw), eV per formula unit: -16.49
E, eV/atom: -4.3074
ρ, g/cm³: 4.89
Magnetic moment, μB per atom: 0.084

What is the magnetic moment in the second record? 0.000 μB per atom